This record from the Alexandria database describes a geometry-optimized Pr7Ga2Te2 structure. The functional is PBE.

a = 4.467 Å, b = 9.341 Å, c = 9.341 Å
α = 68.26°, β = 76.17°, γ = 76.17°
Element x y z (fractional)
Pr (0.385, 0.729, 0.501)
Ga (0.000, 0.773, 0.227)
Te (0.721, 0.868, 0.691)
Pr (0.615, 0.499, 0.271)
Pr (0.809, 0.065, 0.317)
Pr (0.500, 0.005, 0.995)
Pr (0.122, 0.155, 0.601)
Pr (0.878, 0.399, 0.845)
Te (0.279, 0.309, 0.132)
Pr (0.191, 0.683, 0.935)
Ga (0.500, 0.367, 0.633)

Properties
Raw formation energy (eV/atom): -0.68
Size of the total moment (μB/f.u.): 0.00
Calculated total energy (eV per atom): -4.84
SG: Imm2

This record from the Alexandria database describes a geometry-optimized Pr3GaTe2 structure. The functional is PBE.

a = 7.794 Å, b = 7.794 Å, c = 14.077 Å
α = 100.75°, β = 100.75°, γ = 109.05°
Element x y z (fractional)
Te (0.503, 0.003, 0.005)
Ga (0.084, 0.084, 0.167)
Pr (0.484, 0.984, 0.500)
Te (0.253, 0.253, 0.505)
Te (0.831, 0.331, 0.662)
Te (0.997, 0.497, 0.995)
Pr (0.663, 0.149, 0.828)
Te (0.669, 0.169, 0.338)
Pr (0.587, 0.601, 0.672)
Pr (0.016, 0.516, 0.500)
Te (0.581, 0.581, 0.162)
Pr (0.766, 0.766, 0.000)
Pr (0.929, 0.915, 0.328)
Ga (0.334, 0.834, 0.667)
Ga (0.916, 0.916, 0.833)
Pr (0.085, 0.071, 0.672)
Pr (0.234, 0.234, 0.000)
Te (0.747, 0.747, 0.495)
Pr (0.165, 0.679, 0.828)
Te (0.419, 0.419, 0.838)
Pr (0.321, 0.835, 0.172)
Pr (0.851, 0.337, 0.172)
Ga (0.166, 0.666, 0.333)
Pr (0.399, 0.413, 0.328)

Properties
Raw formation energy (eV/atom): -1.18
Size of the total moment (μB/f.u.): 0.00
Energy above the lowest structure with this stoichiometry (meV per atom): 0
Calculated total energy (eV per atom): -5.12
SG: Fddd

This record from the Alexandria database describes a geometry-optimized PrThGa2 structure. The functional is PBE.

a = 5.252 Å, b = 5.252 Å, c = 5.252 Å
α = 60.00°, β = 60.00°, γ = 60.00°
Element x y z (fractional)
Ga (0.750, 0.750, 0.750)
Pr (0.500, 0.500, 0.500)
Th (0.000, 0.000, 0.000)
Ga (0.250, 0.250, 0.250)

Properties
Size of the total moment (μB/f.u.): 0.00
Energy above the lowest structure with this stoichiometry (meV per atom): 103
Formation enthalpy at 0 K (eV/atom): -0.438
Calculated total energy (eV per atom): -5.00
SG: Fm-3m

This record from the Alexandria database describes a geometry-optimized PrThGa2 structure. The functional is PBE.

a = 4.169 Å, b = 6.052 Å, c = 8.324 Å
α = 90.00°, β = 90.00°, γ = 90.00°
Element x y z (fractional)
Ga (0.500, 0.120, 0.965)
Th (0.000, 0.134, 0.679)
Pr (0.500, 0.368, 0.322)
Ga (0.500, 0.880, 0.465)
Ga (0.000, 0.373, 0.034)
Pr (0.500, 0.632, 0.822)
Ga (0.000, 0.627, 0.534)
Th (0.000, 0.866, 0.179)

Properties
Size of the total moment (μB/f.u.): 0.00
Energy above the lowest structure with this stoichiometry (meV per atom): 4
Formation enthalpy at 0 K (eV/atom): -0.537
Calculated total energy (eV per atom): -5.10
SG: Pmc2_1

This record from the Alexandria database describes a geometry-optimized PrThGa structure. The functional is PBE.

a = 4.527 Å, b = 4.527 Å, c = 11.732 Å
α = 90.00°, β = 90.00°, γ = 120.00°
Site moments in Bohr magnetons follow the coordinates.
Element x y z (fractional)
Ga (0.333, 0.667, 0.207)  0.00
Th (0.667, 0.333, 0.083)  0.01
Ga (0.667, 0.333, 0.793)  0.00
Pr (0.000, 0.000, 0.334)  0.08
Th (0.333, 0.667, 0.917)  0.01
Pr (0.000, 0.000, 0.666)  0.08

Properties
Size of the total moment (μB/f.u.): 0.31
Energy above the lowest structure with this stoichiometry (meV per atom): 252
Formation enthalpy at 0 K (eV/atom): 0.018
Calculated total energy (eV per atom): -5.06
SG: P-3m1

This record from the Alexandria database describes a geometry-optimized PrThGa2 structure. The functional is PBE.

a = 4.445 Å, b = 4.154 Å, c = 6.105 Å
α = 90.00°, β = 111.32°, γ = 90.00°
Element x y z (fractional)
Th (0.725, 0.000, 0.989)
Pr (0.440, 0.500, 0.418)
Ga (0.012, 0.000, 0.562)
Ga (0.154, 0.500, 0.849)

Properties
Size of the total moment (μB/f.u.): 0.05
Energy above the lowest structure with this stoichiometry (meV per atom): 0
Formation enthalpy at 0 K (eV/atom): -0.541
Calculated total energy (eV per atom): -5.10
SG: Amm2

> What is the calculated total energy in the fifth record?

-5.06 eV per atom

> The lowest calculated total energy belongs to which entry?

Pr3GaTe2

What did the first record say?
This record from the Alexandria database describes a geometry-optimized Pr7Ga2Te2 structure. The functional is PBE.

a = 4.467 Å, b = 9.341 Å, c = 9.341 Å
α = 68.26°, β = 76.17°, γ = 76.17°
Element x y z (fractional)
Pr (0.385, 0.729, 0.501)
Ga (0.000, 0.773, 0.227)
Te (0.721, 0.868, 0.691)
Pr (0.615, 0.499, 0.271)
Pr (0.809, 0.065, 0.317)
Pr (0.500, 0.005, 0.995)
Pr (0.122, 0.155, 0.601)
Pr (0.878, 0.399, 0.845)
Te (0.279, 0.309, 0.132)
Pr (0.191, 0.683, 0.935)
Ga (0.500, 0.367, 0.633)

Properties
Raw formation energy (eV/atom): -0.68
Size of the total moment (μB/f.u.): 0.00
Calculated total energy (eV per atom): -4.84
SG: Imm2